Record 1
Below is an optimized crystal structure of La2FeHg2, with properties calculated at the PBE level.

Output
- symmetry = I4/mmm, No. 139
- DFT formation energy (eV/atom) = 0.150
- offset from the most stable computed form (kJ/mol of formula units) = 9

a = 9.410 Å, b = 9.410 Å, c = 9.410 Å
α = 155.53°, β = 155.53°, γ = 34.89°
Element x y z (fractional)
La 0.091 0.091 0.000
La 0.909 0.909 0.000
Fe 0.500 0.500 0.000
Hg 0.250 0.750 0.500
Hg 0.750 0.250 0.500


Record 2
Below is an optimized crystal structure of La2FeHg, with properties calculated at the PBE level.

Output
- symmetry = F-43m, No. 216
- DFT formation energy (eV/atom) = 0.086

a = 5.128 Å, b = 5.128 Å, c = 5.128 Å
α = 60.00°, β = 60.00°, γ = 60.00°
Element x y z (fractional)
La 0.000 0.000 0.000
La 0.250 0.250 0.250
Fe 0.500 0.500 0.500
Hg 0.750 0.750 0.750


Record 3
Below is an optimized crystal structure of La4FeHg, with properties calculated at the PBE level.

Output
- symmetry = C2/c, No. 15
- DFT formation energy (eV/atom) = -0.153
- offset from the most stable computed form (kJ/mol of formula units) = 0

a = 7.897 Å, b = 7.897 Å, c = 6.303 Å
α = 99.72°, β = 99.72°, γ = 109.13°
Element x y z (fractional)
La 0.047 0.734 0.958
La 0.199 0.379 0.605
La 0.266 0.953 0.542
La 0.379 0.199 0.105
La 0.621 0.801 0.895
La 0.734 0.047 0.458
La 0.801 0.621 0.395
La 0.953 0.266 0.042
Fe 0.004 0.996 0.250
Fe 0.996 0.004 0.750
Hg 0.378 0.622 0.250
Hg 0.622 0.378 0.750


Record 4
Below is an optimized crystal structure of LaFeHg, with properties calculated at the PBE level.

Output
- symmetry = I4mm, No. 107
- DFT formation energy (eV/atom) = 0.128

a = 6.147 Å, b = 6.147 Å, c = 6.147 Å
α = 146.80°, β = 146.80°, γ = 47.66°
Element x y z (fractional)
La 0.000 0.000 0.000
Fe 0.326 0.326 0.000
Hg 0.710 0.710 0.000


Record 5
Below is an optimized crystal structure of La2FeHg, with properties calculated at the PBE level.

Output
- symmetry = R3m, No. 160
- DFT formation energy (eV/atom) = 0.234

a = 8.991 Å, b = 8.991 Å, c = 8.991 Å
α = 25.13°, β = 25.13°, γ = 25.13°
Element x y z (fractional)
La 0.000 0.000 0.000
La 0.209 0.209 0.209
Fe 0.476 0.476 0.476
Hg 0.757 0.757 0.757


Record 6
Below is an optimized crystal structure of La2FeHg2, with properties calculated at the PBE level.

Output
- symmetry = P4/mbm, No. 127
- DFT formation energy (eV/atom) = 0.132
- offset from the most stable computed form (kJ/mol of formula units) = 0

a = 7.660 Å, b = 7.660 Å, c = 4.953 Å
α = 90.00°, β = 90.00°, γ = 90.00°
Element x y z (fractional)
La 0.170 0.330 0.000
La 0.330 0.830 0.000
La 0.670 0.170 0.000
La 0.830 0.670 0.000
Fe 0.000 0.000 0.000
Fe 0.500 0.500 0.000
Hg 0.141 0.641 0.500
Hg 0.359 0.141 0.500
Hg 0.641 0.859 0.500
Hg 0.859 0.359 0.500


Record 7
Below is an optimized crystal structure of LaFeHg, with properties calculated at the PBE level.

Output
- symmetry = P-6m2, No. 187
- DFT formation energy (eV/atom) = 0.039

a = 4.615 Å, b = 4.615 Å, c = 4.007 Å
α = 90.00°, β = 90.00°, γ = 120.00°
Element x y z (fractional)
La 0.000 0.000 0.000
Fe 0.667 0.333 0.500
Hg 0.333 0.667 0.500


Record 8
Below is an optimized crystal structure of La2FeHg, with properties calculated at the PBE level.

Output
- symmetry = I-4m2, No. 119
- DFT formation energy (eV/atom) = 0.085

a = 5.750 Å, b = 5.750 Å, c = 5.750 Å
α = 132.58°, β = 132.58°, γ = 69.31°
Element x y z (fractional)
La 0.000 0.000 0.000
La 0.750 0.250 0.500
Fe 0.250 0.750 0.500
Hg 0.500 0.500 0.000


Record 9
Below is an optimized crystal structure of LaFeHg, with properties calculated at the PBE level.

Output
- symmetry = F-43m, No. 216
- DFT formation energy (eV/atom) = 0.674

a = 5.024 Å, b = 5.024 Å, c = 5.024 Å
α = 60.00°, β = 60.00°, γ = 60.00°
Element x y z (fractional)
La 0.000 0.000 0.000
Fe 0.250 0.250 0.250
Hg 0.750 0.750 0.750


Record 10
Below is an optimized crystal structure of La2MgFeHg, with properties calculated at the PBE level.

Output
- symmetry = P4/mmm, No. 123
- DFT formation energy (eV/atom) = -0.131

a = 5.110 Å, b = 5.110 Å, c = 5.150 Å
α = 90.00°, β = 90.00°, γ = 90.00°
Element x y z (fractional)
La 0.000 0.500 0.000
La 0.500 0.000 0.000
Mg 0.000 0.000 0.500
Fe 0.000 0.000 0.000
Hg 0.500 0.500 0.500


Record 11
Below is an optimized crystal structure of La6FeHg2N, with properties calculated at the PBE level.

Output
- symmetry = P1, No. 1
- energy relative to the elements, uncorrected (meV per atom) = -416

a = 7.285 Å, b = 7.356 Å, c = 7.359 Å
α = 60.64°, β = 61.12°, γ = 61.18°
Element x y z (fractional)
La 0.000 0.000 0.000
La 0.037 0.506 0.928
La 0.139 0.440 0.436
La 0.472 0.961 0.075
La 0.556 0.896 0.577
La 0.613 0.376 0.533
Fe 0.814 0.746 0.231
Hg 0.060 0.958 0.515
Hg 0.555 0.447 0.991
N 0.301 0.211 0.753


Record 12
Below is an optimized crystal structure of LaFeHg2Pd, with properties calculated at the PBE level.

Output
- symmetry = P4/mmm, No. 123
- DFT formation energy (eV/atom) = 1.365

a = 5.980 Å, b = 5.980 Å, c = 5.123 Å
α = 90.00°, β = 90.00°, γ = 90.00°
Element x y z (fractional)
La 0.000 0.000 0.000
Fe 0.500 0.500 0.500
Hg 0.000 0.500 0.000
Hg 0.500 0.000 0.000
Pd 0.000 0.000 0.500


Record 13
Below is an optimized crystal structure of LaFeSiHg2, with properties calculated at the PBE level.

Output
- symmetry = P4/mmm, No. 123
- energy relative to the elements, uncorrected (meV per atom) = 841

a = 4.904 Å, b = 4.904 Å, c = 5.745 Å
α = 90.00°, β = 90.00°, γ = 90.00°
Element x y z (fractional)
La 0.000 0.000 0.000
Fe 0.500 0.500 0.000
Si 0.000 0.000 0.500
Hg 0.000 0.500 0.500
Hg 0.500 0.000 0.500


Record 14
Below is an optimized crystal structure of Sr2LaFeHg, with properties calculated at the PBE level.

Output
- symmetry = P4/mmm, No. 123
- DFT formation energy (eV/atom) = 0.907

a = 6.054 Å, b = 6.054 Å, c = 5.929 Å
α = 90.00°, β = 90.00°, γ = 90.00°
Element x y z (fractional)
Sr 0.000 0.500 0.000
Sr 0.500 0.000 0.000
La 0.000 0.000 0.500
Fe 0.500 0.500 0.500
Hg 0.000 0.000 0.000


Record 15
Below is an optimized crystal structure of LaTlFeHg2, with properties calculated at the PBE level.

Output
- symmetry = P4/mmm, No. 123
- DFT formation energy (eV/atom) = 0.573

a = 5.477 Å, b = 5.477 Å, c = 5.088 Å
α = 90.00°, β = 90.00°, γ = 90.00°
Element x y z (fractional)
La 0.000 0.000 0.000
Tl 0.500 0.500 0.500
Fe 0.500 0.500 0.000
Hg 0.000 0.500 0.500
Hg 0.500 0.000 0.500


Record 16
Below is an optimized crystal structure of LaVFeHg2, with properties calculated at the PBE level.

Output
- symmetry = P4/mmm, No. 123
- DFT formation energy (eV/atom) = 1.698

a = 5.875 Å, b = 5.875 Å, c = 4.776 Å
α = 90.00°, β = 90.00°, γ = 90.00°
Element x y z (fractional)
La 0.000 0.000 0.000
V 0.000 0.000 0.500
Fe 0.500 0.500 0.500
Hg 0.000 0.500 0.000
Hg 0.500 0.000 0.000


Record 17
Below is an optimized crystal structure of La2YFeHg, with properties calculated at the PBE level.

Output
- symmetry = P4/mmm, No. 123
- DFT formation energy (eV/atom) = -0.107

a = 5.132 Å, b = 5.132 Å, c = 5.425 Å
α = 90.00°, β = 90.00°, γ = 90.00°
Element x y z (fractional)
La 0.000 0.500 0.000
La 0.500 0.000 0.000
Y 0.000 0.000 0.500
Fe 0.000 0.000 0.000
Hg 0.500 0.500 0.500


Record 18
Below is an optimized crystal structure of LaY2FeHg, with properties calculated at the PBE level.

Output
- symmetry = P4/mmm, No. 123
- DFT formation energy (eV/atom) = -0.064

a = 5.270 Å, b = 5.270 Å, c = 5.027 Å
α = 90.00°, β = 90.00°, γ = 90.00°
Element x y z (fractional)
La 0.000 0.000 0.000
Y 0.000 0.500 0.500
Y 0.500 0.000 0.500
Fe 0.000 0.000 0.500
Hg 0.500 0.500 0.000


Record 19
Below is an optimized crystal structure of LiFe4Hg, with properties calculated at the PBE level.

Output
- symmetry = F-43m, No. 216
- DFT formation energy (eV/atom) = 0.242

a = 4.911 Å, b = 4.911 Å, c = 4.911 Å
α = 60.00°, β = 60.00°, γ = 60.00°
Element x y z (fractional)
Li 0.000 0.000 0.000
Fe 0.122 0.626 0.626
Fe 0.626 0.122 0.626
Fe 0.626 0.626 0.122
Fe 0.626 0.626 0.626
Hg 0.250 0.250 0.250


Record 20
Below is an optimized crystal structure of LiFeHg, with properties calculated at the PBE level.

Output
- symmetry = P3m1, No. 156
- DFT formation energy (eV/atom) = 0.248
- offset from the most stable computed form (kJ/mol of formula units) = 0

a = 4.443 Å, b = 4.443 Å, c = 2.781 Å
α = 90.00°, β = 90.00°, γ = 120.00°
Element x y z (fractional)
Li 0.000 0.000 0.000
Fe 0.333 0.667 0.304
Hg 0.667 0.333 0.678


Record 21
Below is an optimized crystal structure of LiFeHg, with properties calculated at the PBE level.

Output
- symmetry = I4mm, No. 107
- DFT formation energy (eV/atom) = 0.267
- offset from the most stable computed form (kJ/mol of formula units) = 6

a = 6.086 Å, b = 6.086 Å, c = 6.086 Å
α = 152.41°, β = 152.41°, γ = 39.42°
Element x y z (fractional)
Li 0.000 0.000 0.000
Fe 0.657 0.657 0.000
Hg 0.331 0.331 0.000


Record 22
Below is an optimized crystal structure of LiFe2Hg2, with properties calculated at the PBE level.

Output
- symmetry = P4/mbm, No. 127
- DFT formation energy (eV/atom) = 0.273
- offset from the most stable computed form (kJ/mol of formula units) = 32

a = 7.847 Å, b = 7.847 Å, c = 2.879 Å
α = 90.00°, β = 90.00°, γ = 90.00°
Element x y z (fractional)
Li 0.000 0.000 0.000
Li 0.500 0.500 0.000
Fe 0.105 0.395 0.000
Fe 0.395 0.895 0.000
Fe 0.605 0.105 0.000
Fe 0.895 0.605 0.000
Hg 0.190 0.690 0.500
Hg 0.310 0.190 0.500
Hg 0.690 0.810 0.500
Hg 0.810 0.310 0.500


Record 23
Below is an optimized crystal structure of LiFeHg, with properties calculated at the PBE level.

Output
- symmetry = F-43m, No. 216
- DFT formation energy (eV/atom) = 0.466
- offset from the most stable computed form (kJ/mol of formula units) = 63

a = 4.357 Å, b = 4.357 Å, c = 4.357 Å
α = 60.00°, β = 60.00°, γ = 60.00°
Element x y z (fractional)
Li 0.000 0.000 0.000
Fe 0.500 0.500 0.500
Hg 0.250 0.250 0.250


Record 24
Below is an optimized crystal structure of LiFeHg, with properties calculated at the PBE level.

Output
- symmetry = Imm2, No. 44
- DFT formation energy (eV/atom) = 0.249
- offset from the most stable computed form (kJ/mol of formula units) = 0

a = 4.849 Å, b = 4.849 Å, c = 4.849 Å
α = 145.83°, β = 130.48°, γ = 61.54°
Element x y z (fractional)
Li 0.000 0.000 0.000
Fe 0.332 0.332 0.000
Hg 0.667 0.667 0.000


Record 25
Below is an optimized crystal structure of LiFe2Hg2, with properties calculated at the PBE level.

Output
- symmetry = I4/mmm, No. 139
- DFT formation energy (eV/atom) = 0.475
- offset from the most stable computed form (kJ/mol of formula units) = 130

a = 5.185 Å, b = 5.185 Å, c = 5.185 Å
α = 121.49°, β = 121.49°, γ = 87.44°
Element x y z (fractional)
Li 0.000 0.000 0.000
Fe 0.357 0.357 0.000
Fe 0.643 0.643 0.000
Hg 0.250 0.750 0.500
Hg 0.750 0.250 0.500


Record 26
Below is an optimized crystal structure of LiFe2Hg2, with properties calculated at the PBE level.

Output
- symmetry = I4/mmm, No. 139
- DFT formation energy (eV/atom) = 0.206
- offset from the most stable computed form (kJ/mol of formula units) = 0

a = 7.748 Å, b = 7.748 Å, c = 7.748 Å
α = 154.45°, β = 154.45°, γ = 36.44°
Element x y z (fractional)
Li 0.000 0.000 0.000
Fe 0.250 0.750 0.500
Fe 0.750 0.250 0.500
Hg 0.400 0.400 0.000
Hg 0.600 0.600 0.000


Record 27
Below is an optimized crystal structure of Li4FeHg, with properties calculated at the PBE level.

Output
- symmetry = F-43m, No. 216
- DFT formation energy (eV/atom) = 0.211

a = 5.031 Å, b = 5.031 Å, c = 5.031 Å
α = 60.00°, β = 60.00°, γ = 60.00°
Element x y z (fractional)
Li 0.125 0.125 0.125
Li 0.125 0.125 0.626
Li 0.125 0.626 0.125
Li 0.626 0.125 0.125
Fe 0.750 0.750 0.750
Hg 0.500 0.500 0.500


Record 28
Below is an optimized crystal structure of Li3FeHg, with properties calculated at the PBE level.

Output
- symmetry = Pm-3m, No. 221
- DFT formation energy (eV/atom) = 0.630
- offset from the most stable computed form (kJ/mol of formula units) = 15

a = 4.861 Å, b = 4.861 Å, c = 4.861 Å
α = 90.00°, β = 90.00°, γ = 90.00°
Element x y z (fractional)
Li 0.000 0.000 0.500
Li 0.000 0.500 0.000
Li 0.500 0.000 0.000
Fe 0.500 0.500 0.500
Hg 0.000 0.000 0.000


Record 29
Below is an optimized crystal structure of LiFe3Hg, with properties calculated at the PBE level.

Output
- symmetry = Pm-3m, No. 221
- DFT formation energy (eV/atom) = 0.942
- offset from the most stable computed form (kJ/mol of formula units) = 0

a = 4.124 Å, b = 4.124 Å, c = 4.124 Å
α = 90.00°, β = 90.00°, γ = 90.00°
Element x y z (fractional)
Li 0.000 0.000 0.000
Fe 0.000 0.000 0.500
Fe 0.000 0.500 0.000
Fe 0.500 0.000 0.000
Hg 0.500 0.500 0.500


Number 1: magnetic moment 1.34 μB per cell, density of states at the Fermi level 1.205 states/eV/atom. Number 2: magnetic moment 1.82 μB per cell, density of states at the Fermi level 1.004 states/eV/atom. Number 3: magnetic moment 0.00 μB per cell, density of states at the Fermi level 1.301 states/eV/atom. Number 4: magnetic moment 1.94 μB per cell, density of states at the Fermi level 1.392 states/eV/atom. Number 5: magnetic moment 1.49 μB per cell, density of states at the Fermi level 1.210 states/eV/atom. Number 6: magnetic moment 3.43 μB per cell, density of states at the Fermi level 1.205 states/eV/atom. Number 7: magnetic moment 2.31 μB per cell, density of states at the Fermi level 1.580 states/eV/atom. Number 8: magnetic moment 1.65 μB per cell, density of states at the Fermi level 1.314 states/eV/atom. Number 9: magnetic moment 2.31 μB per cell, density of states at the Fermi level 2.906 states/eV/atom. Number 10: magnetic moment 0.00 μB per cell, density of states at the Fermi level 0.747 states/eV/atom. Number 11: magnetic moment 0.00 μB per cell, density of states at the Fermi level 0.896 states/eV/atom. Number 12: magnetic moment 0.19 μB per cell, density of states at the Fermi level 2.277 states/eV/atom. Number 13: magnetic moment 0.20 μB per cell, density of states at the Fermi level 1.390 states/eV/atom. Number 14: magnetic moment 0.27 μB per cell, density of states at the Fermi level 2.460 states/eV/atom. Number 15: magnetic moment 2.25 μB per cell, density of states at the Fermi level 1.061 states/eV/atom. Number 16: magnetic moment 3.50 μB per cell, density of states at the Fermi level 1.990 states/eV/atom. Number 17: magnetic moment 0.00 μB per cell, density of states at the Fermi level 1.416 states/eV/atom. Number 18: magnetic moment 0.00 μB per cell, density of states at the Fermi level 0.922 states/eV/atom. Number 19: magnetic moment 9.73 μB per cell, density of states at the Fermi level 0.826 states/eV/atom. Number 20: magnetic moment 2.67 μB per cell, density of states at the Fermi level 0.831 states/eV/atom. Number 21: magnetic moment 2.60 μB per cell, density of states at the Fermi level 0.583 states/eV/atom. Number 22: magnetic moment 10.02 μB per cell, density of states at the Fermi level 0.571 states/eV/atom. Number 23: magnetic moment 2.74 μB per cell, density of states at the Fermi level 0.737 states/eV/atom. Number 24: magnetic moment 2.74 μB per cell, density of states at the Fermi level 1.184 states/eV/atom. Number 25: magnetic moment 5.23 μB per cell, density of states at the Fermi level 0.630 states/eV/atom. Number 26: magnetic moment 4.95 μB per cell, density of states at the Fermi level 0.913 states/eV/atom. Number 27: magnetic moment 2.59 μB per cell, density of states at the Fermi level 1.076 states/eV/atom. Number 28: magnetic moment 3.08 μB per cell, density of states at the Fermi level 1.219 states/eV/atom. Number 29: magnetic moment 7.23 μB per cell, density of states at the Fermi level 0.587 states/eV/atom.